Entry from Alexandria via LeMat-Bulk: an optimized crystal structure of Ca2TeSe (PBEsol).

Computed properties:
* energy: -4.72 eV/atom
* spin magnetization: 0.000 μB/atom
* uncorrected formation energy: -1.80 eV/atom

Structure (CIF):
```
data_Ca2TeSe
_cell_length_a 4.3159
_cell_length_b 4.3159
_cell_length_c 6.1023
_cell_angle_alpha 90.00
_cell_angle_beta 90.00
_cell_angle_gamma 90.00
_symmetry_space_group_name_H-M 'P 4/m m m'
_symmetry_Int_Tables_number 123
_symmetry_space_group_name_Hall '-P 4 2'
loop_
_atom_site_label
_atom_site_fract_x
_atom_site_fract_y
_atom_site_fract_z
_atom_site_occupancy
Ca1 0.0000 0.0000 0.0000 1
Ca2 0.5000 0.5000 0.5000 1
Te1 0.0000 0.0000 0.5000 1
Se1 0.5000 0.5000 0.0000 1
```

Entry from Alexandria via LeMat-Bulk: an optimized crystal structure of Y2HgCl (PBEsol).

Computed properties:
* energy: -4.07 eV/atom
* spin magnetization: 0.001 μB/atom
* uncorrected formation energy: -0.02 eV/atom

Structure (CIF):
```
data_Y2HgCl
_cell_length_a 7.3531
_cell_length_b 7.3531
_cell_length_c 7.3531
_cell_angle_alpha 90.00
_cell_angle_beta 90.00
_cell_angle_gamma 90.00
_symmetry_space_group_name_H-M 'F -4 3 m'
_symmetry_Int_Tables_number 216
_symmetry_space_group_name_Hall 'F -4 2 3'
loop_
_atom_site_label
_atom_site_fract_x
_atom_site_fract_y
_atom_site_fract_z
_atom_site_occupancy
Y1 0.0000 0.0000 0.0000 1
Y2 0.2500 0.2500 0.2500 1
Hg1 0.0000 0.0000 0.5000 1
Cl1 0.2500 0.2500 0.7500 1
```

no.,excess energy over the best structure of this formula in the dataset (meV per atom),calculated volume (Å³/f.u.)
1,28,113.7
2,732,99.4